Material: SrTc4Br
Method: DFT, PBE
State: relaxed

* energy relative to the elements, uncorrected: 0.84 eV per atom

Unit cell a=5.415 b=5.415 c=5.415 alpha=60.00 beta=60.00 gamma=60.00
Sites, in units of the cell vectors:
Tc  0.377  0.870  0.377
Tc  0.377  0.377  0.377
Tc  0.870  0.377  0.377
Tc  0.377  0.377  0.870
Sr  0.000  0.000  0.000
Br  0.750  0.750  0.750